MnCoCu2 SCAN PBEsol geometry; final energy = -16.44 eV/atom; energy of formation from the pure elements = 50 meV/atom
1.0
4.266 -1.274 0.000
4.266 1.274 0.000
-0.827 0.000 4.120
Mn Co Cu
1 1 2
Direct
0.000 0.000 0.000 Mn
0.500 0.500 0.500 Co
0.247 0.247 0.746 Cu
0.753 0.753 0.254 Cu